(1)
First-principles (PBE) data for a geometry-optimized Cs3Cu2PdCl6 structure, as listed in the Alexandria database.

CIF file:
```
data_Cs3Cu2PdCl6
_space_group_name_H-M_alt 'P 1'
_space_group_IT_number 1
_space_group_name_Hall 'P 1'
_cell_length_a 7.499
_cell_length_b 7.499
_cell_length_c 8.887
_cell_angle_alpha 90.00
_cell_angle_beta 90.00
_cell_angle_gamma 120.00
loop_
_atom_site_label
_atom_site_type_symbol
_atom_site_fract_x
_atom_site_fract_y
_atom_site_fract_z
Pd1 Pd 0.000 0.000 0.500
Cl1 Cl 0.325 0.162 0.695
Cl2 Cl 0.675 0.838 0.305
Cl3 Cl 0.162 0.325 0.305
Cl4 Cl 0.838 0.675 0.695
Cl5 Cl 0.162 0.838 0.305
Cl6 Cl 0.838 0.162 0.695
Cs1 Cs 0.333 0.667 0.666
Cs2 Cs 0.000 0.000 0.000
Cs3 Cs 0.667 0.333 0.334
Cu1 Cu 0.667 0.333 0.713
Cu2 Cu 0.333 0.667 0.287
```

Calculated values
V: 36.1 Å³/atom

=====

(2)
First-principles (PBE) data for a geometry-optimized CsPmCuCl5 structure, as listed in the Alexandria database.

CIF file:
```
data_CsPmCuCl5
_space_group_name_H-M_alt 'P 1'
_space_group_IT_number 1
_space_group_name_Hall 'P 1'
_cell_length_a 7.655
_cell_length_b 7.655
_cell_length_c 10.323
_cell_angle_alpha 103.54
_cell_angle_beta 103.54
_cell_angle_gamma 106.30
loop_
_atom_site_label
_atom_site_type_symbol
_atom_site_fract_x
_atom_site_fract_y
_atom_site_fract_z
Cl1 Cl 0.071 0.929 0.250
Cl2 Cl 0.701 0.109 0.391
Cl3 Cl 0.227 0.380 0.587
Cl4 Cl 0.380 0.227 0.087
Cl5 Cl 0.929 0.071 0.750
Cl6 Cl 0.299 0.891 0.609
Cl7 Cl 0.891 0.299 0.109
Cl8 Cl 0.773 0.620 0.413
Cl9 Cl 0.620 0.773 0.913
Cl10 Cl 0.109 0.701 0.891
Cu1 Cu 0.310 0.690 0.750
Cu2 Cu 0.690 0.310 0.250
Cs1 Cs 0.347 0.653 0.250
Cs2 Cs 0.653 0.347 0.750
Pm1 Pm 0.000 0.000 0.500
Pm2 Pm 0.000 0.000 0.000
```

Calculated values
V: 33.4 Å³/atom

=====

(3)
First-principles (PBE) data for a geometry-optimized CsPmCu2Cl8 structure, as listed in the Alexandria database.

CIF file:
```
data_CsPmCu2Cl8
_space_group_name_H-M_alt 'P 1'
_space_group_IT_number 1
_space_group_name_Hall 'P 1'
_cell_length_a 6.172
_cell_length_b 6.172
_cell_length_c 10.818
_cell_angle_alpha 89.81
_cell_angle_beta 89.81
_cell_angle_gamma 76.39
loop_
_atom_site_label
_atom_site_type_symbol
_atom_site_fract_x
_atom_site_fract_y
_atom_site_fract_z
Cl1 Cl 0.282 0.282 0.985
Cl2 Cl 0.786 0.243 0.196
Cl3 Cl 0.757 0.214 0.804
Cl4 Cl 0.214 0.757 0.804
Cl5 Cl 0.658 0.658 0.404
Cl6 Cl 0.243 0.786 0.196
Cl7 Cl 0.342 0.342 0.596
Cl8 Cl 0.718 0.718 0.015
Pm1 Pm 0.000 0.000 0.000
Cs1 Cs 0.000 0.000 0.500
Cu1 Cu 0.379 0.379 0.795
Cu2 Cu 0.621 0.621 0.205
```

Calculated values
V: 33.4 Å³/atom

=====

It is found that the raw total energy values, taken in the order of the records, are -3.33; -4.11; -3.68 eV/atom.